# 1
## Na3Zn9Pt2 (PBE)

Data for an optimized crystal structure of Na3Zn9Pt2.

```
14
Lattice="-2.117 4.581 6.481 2.117 -4.581 6.481 2.117 4.581 -6.481" Properties=species:S:1:pos:R:3 pbc="T T T"
Na 0.000 0.000 0.000
Na 0.000 0.000 3.979
Na 0.000 0.000 8.983
Zn 2.117 -1.317 2.240
Zn 2.117 -2.017 4.890
Zn 2.117 1.317 2.240
Zn 0.000 2.563 1.591
Zn 0.000 4.581 0.000
Zn 2.117 2.017 4.890
Zn 0.000 3.264 4.241
Zn 0.000 6.598 1.591
Zn 0.000 5.898 4.241
Pt 2.117 2.778 0.000
Pt 0.000 1.803 6.481
```

Summary:
Total moment = 0.0 μB per cell
Space-group type = Immm, No. 71
E_form = -184 meV/atom


# 2
## Np2SbTe3 (PBE)

Data for an optimized crystal structure of Np2SbTe3.

```
6
Lattice="4.366 0.000 0.000 0.000 4.366 0.000 0.000 0.000 8.951" Properties=species:S:1:pos:R:3 pbc="T T T"
Np 0.000 2.183 2.028
Np 2.183 0.000 6.922
Sb 0.000 0.000 4.475
Te 0.000 2.183 7.738
Te 2.183 0.000 1.213
Te 2.183 2.183 4.475
```

Summary:
Total moment = 7.8 μB per cell
Formation energy without anion corrections = -0.600 eV/atom
Space-group type = P-4m2, No. 115


# 3
## BaTlHgPd2 (PBE)

Data for an optimized crystal structure of BaTlHgPd2.

```
5
Lattice="-2.355 2.355 5.857 2.355 -2.355 5.857 2.355 2.355 -5.857" Properties=species:S:1:pos:R:3 pbc="T T T"
Ba 0.000 0.000 0.000
Tl 2.355 0.000 2.929
Hg 0.000 2.355 2.929
Pd 0.000 0.000 4.523
Pd 0.000 0.000 7.191
```

Summary:
Total moment = 0.0 μB per cell
Space-group type = I-4m2, No. 119
E_form = -406 meV/atom


# 4
## TiTl5Se4 (PBE)

Data for an optimized crystal structure of TiTl5Se4.

```
10
Lattice="9.162 -1.994 0.000 9.162 1.994 0.000 -2.627 0.000 8.123" Properties=species:S:1:pos:R:3 pbc="T T T"
Ti 0.000 0.000 0.000
Tl -1.314 0.000 4.062
Tl 3.949 0.000 5.488
Tl 5.715 0.000 1.757
Tl 9.982 0.000 6.367
Tl 11.748 0.000 2.635
Se 2.612 0.000 0.343
Se 6.781 0.000 6.365
Se 8.916 0.000 1.758
Se 13.086 0.000 7.781
```

Summary:
Total moment = 0.6 μB per cell
Formation energy without anion corrections = -0.517 eV/atom
Space-group type = C2/m, No. 12


- Look up the total moment of the fourth one.
  0.6 μB per cell